Entry 1:
VASP calculation (PBE-GGA) on a geometry-optimized LiSbI4 structure.

Geometry as extended XYZ:
```
6
Lattice="8.748 -2.156 0.000 8.748 2.156 0.000 -3.206 0.000 6.811" Properties=species:S:1:pos:R:3 pbc="T T T"
Li 0.000 0.000 0.000
Sb 7.145 0.000 3.405
I 0.564 0.000 3.047
I 6.713 0.000 0.419
I 7.577 0.000 6.391
I 13.727 0.000 3.764
```

Properties
Crystal system = monoclinic
VASP energy = -2.65 eV/atom
Space-group type = C2/m

Entry 2:
VASP calculation (PBE-GGA) on a geometry-optimized Li2Sb2I structure.

Geometry as extended XYZ:
```
10
Lattice="8.066 0.000 0.000 0.000 8.066 0.000 0.000 0.000 4.267" Properties=species:S:1:pos:R:3 pbc="T T T"
Li 1.332 2.701 0.000
Li 2.701 6.734 0.000
Li 5.365 1.332 0.000
Li 6.734 5.365 0.000
Sb 0.939 4.972 2.133
Sb 3.094 0.939 2.133
Sb 4.972 7.127 2.133
Sb 7.127 3.094 2.133
I 0.000 0.000 0.000
I 4.033 4.033 0.000
```

Properties
Crystal system = tetragonal
VASP energy = -3.05 eV/atom
Space-group type = P4/mbm

Entry 3:
VASP calculation (PBE-GGA) on a geometry-optimized LiSc2SbI structure.

Geometry as extended XYZ:
```
5
Lattice="5.358 0.000 0.000 0.000 5.358 0.000 0.000 0.000 4.693" Properties=species:S:1:pos:R:3 pbc="T T T"
Li 0.000 0.000 0.000
Sc 0.000 2.679 2.346
Sc 2.679 0.000 2.346
Sb 2.679 2.679 0.000
I 0.000 0.000 2.346
```

Properties
Crystal system = tetragonal
VASP energy = -4.04 eV/atom
Space-group type = P4/mmm

Entry 4:
VASP calculation (PBE-GGA) on a geometry-optimized LiScSbI2 structure.

Geometry as extended XYZ:
```
5
Lattice="5.769 0.000 0.000 0.000 5.769 0.000 0.000 0.000 5.661" Properties=species:S:1:pos:R:3 pbc="T T T"
Li 0.000 0.000 0.000
Sc 2.885 2.885 2.830
Sb 2.885 2.885 0.000
I 0.000 2.885 2.830
I 2.885 0.000 2.830
```

Properties
Crystal system = tetragonal
VASP energy = -3.55 eV/atom
Space-group type = P4/mmm

Entry 5:
VASP calculation (PBE-GGA) on a geometry-optimized LiScSbI2 structure.

Geometry as extended XYZ:
```
5
Lattice="5.150 0.000 0.000 0.000 5.150 0.000 0.000 0.000 5.578" Properties=species:S:1:pos:R:3 pbc="T T T"
Li 0.000 0.000 0.000
Sc 2.575 2.575 2.789
Sb 0.000 0.000 2.789
I 0.000 2.575 0.000
I 2.575 0.000 0.000
```

Properties
Crystal system = tetragonal
VASP energy = -3.14 eV/atom
Space-group type = P4/mmm

Entry 6:
VASP calculation (PBE-GGA) on a geometry-optimized LiSiSbI2 structure.

Geometry as extended XYZ:
```
5
Lattice="5.258 0.000 0.000 0.000 5.258 0.000 0.000 0.000 5.241" Properties=species:S:1:pos:R:3 pbc="T T T"
Li 0.000 0.000 0.000
Si 2.629 2.629 2.621
Sb 0.000 0.000 2.621
I 0.000 2.629 0.000
I 2.629 0.000 0.000
```

Properties
Crystal system = tetragonal
VASP energy = -2.43 eV/atom
Space-group type = P4/mmm

Entry 7:
VASP calculation (PBE-GGA) on a geometry-optimized LiSiSbI2 structure.

Geometry as extended XYZ:
```
5
Lattice="5.726 0.000 0.000 0.000 5.726 0.000 0.000 0.000 5.414" Properties=species:S:1:pos:R:3 pbc="T T T"
Li 0.000 0.000 0.000
Si 2.863 2.863 2.707
Sb 2.863 2.863 0.000
I 0.000 2.863 2.707
I 2.863 0.000 2.707
```

Properties
Crystal system = tetragonal
VASP energy = -2.76 eV/atom
Space-group type = P4/mmm

Entry 8:
VASP calculation (PBE-GGA) on a geometry-optimized LiSn2SbI structure.

Geometry as extended XYZ:
```
5
Lattice="5.815 0.000 0.000 0.000 5.815 0.000 0.000 0.000 6.315" Properties=species:S:1:pos:R:3 pbc="T T T"
Li 0.000 0.000 0.000
Sn 0.000 2.907 3.157
Sn 2.907 0.000 3.157
Sb 2.907 2.907 3.157
I 2.907 2.907 0.000
```

Properties
Crystal system = tetragonal
VASP energy = -2.71 eV/atom
Space-group type = P4/mmm